# La2ZrHg (PBE, optimized geometry)
data_La2ZrHg
_space_group_name_H-M_alt 'P 1'
_space_group_IT_number 1
_cell_length_a 5.351
_cell_length_b 5.351
_cell_length_c 5.351
_cell_angle_alpha 60.00
_cell_angle_beta 60.00
_cell_angle_gamma 60.00
loop_
_space_group_symop_operation_xyz
'x,y,z'
loop_
_atom_site_label
_atom_site_type_symbol
_atom_site_fract_x
_atom_site_fract_y
_atom_site_fract_z
La1 La 0.000 0.000 0.000
La2 La 0.250 0.250 0.250
Zr1 Zr 0.750 0.750 0.750
Hg1 Hg 0.500 0.500 0.500
# - Total magnetic moment: 1.18 μB per formula unit
# - Calculated formation energy: 0.05 eV per atom
# - Crystal system: cubic